A geometry-optimized Nd6CuRh2Cl3 structure, computed with PBE.

Geometry as CIF:
```
data_Nd6CuRh2Cl3
_chemical_formula_sum 'Nd6 Cu1 Rh2 Cl3'
_space_group_name_H-M_alt 'P 1'
_space_group_IT_number 1
_cell_length_a 7.1292
_cell_length_b 7.1292
_cell_length_c 7.8897
_cell_angle_alpha 98.66
_cell_angle_beta 98.66
_cell_angle_gamma 120.01
loop_
_space_group_symop_operation_xyz
'x,y,z'
loop_
_atom_site_label
_atom_site_type_symbol
_atom_site_fract_x
_atom_site_fract_y
_atom_site_fract_z
Nd1 Nd 0.0900 0.4310 0.7928
Nd2 Nd 0.2280 0.2280 0.2075
Nd3 Nd 0.4310 0.0900 0.7928
Nd4 Nd 0.5690 0.9100 0.2072
Nd5 Nd 0.7720 0.7720 0.7925
Nd6 Nd 0.9100 0.5690 0.2072
Cu1 Cu 0.5000 0.5000 0.0000
Rh1 Rh 0.1666 0.8334 0.0000
Rh2 Rh 0.8334 0.1666 0.0000
Cl1 Cl 0.0000 0.0000 0.5000
Cl2 Cl 0.3313 0.6687 0.5000
Cl3 Cl 0.6687 0.3313 0.5000
```

Results
Crystal system: monoclinic
DFT total energy: -65.28 eV per cell
Space group: C2/m

***

A geometry-optimized Nd6CuRu2Cl3 structure, computed with PBE.

Geometry as CIF:
```
data_Nd6CuRu2Cl3
_chemical_formula_sum 'Nd6 Cu1 Ru2 Cl3'
_space_group_name_H-M_alt 'P 1'
_space_group_IT_number 1
_cell_length_a 7.0531
_cell_length_b 7.0531
_cell_length_c 7.9873
_cell_angle_alpha 98.45
_cell_angle_beta 98.45
_cell_angle_gamma 120.01
loop_
_space_group_symop_operation_xyz
'x,y,z'
loop_
_atom_site_label
_atom_site_type_symbol
_atom_site_fract_x
_atom_site_fract_y
_atom_site_fract_z
Nd1 Nd 0.0841 0.4310 0.7931
Nd2 Nd 0.2218 0.2218 0.2069
Nd3 Nd 0.4310 0.0841 0.7931
Nd4 Nd 0.5690 0.9159 0.2069
Nd5 Nd 0.7782 0.7782 0.7931
Nd6 Nd 0.9159 0.5690 0.2069
Cu1 Cu 0.5000 0.5000 0.0000
Ru1 Ru 0.1664 0.8336 0.0000
Ru2 Ru 0.8336 0.1664 0.0000
Cl1 Cl 0.0000 0.0000 0.5000
Cl2 Cl 0.3288 0.6712 0.5000
Cl3 Cl 0.6712 0.3288 0.5000
```

Results
Crystal system: monoclinic
DFT total energy: -67.47 eV per cell
Space group: C2/m

***

Number 1: uncorrected formation energy -99.2 kJ per mole of atoms, magnetization 0.00 Bohr magnetons per cell. Number 2: uncorrected formation energy -85.8 kJ per mole of atoms, magnetization 0.00 Bohr magnetons per cell.